[1]
DFT (GGA-PBE) results for a geometry-optimized MgCdS2 structure.

Values from the calculation:
Uncorrected formation energy: -1.00 eV per atom
Total magnetization: 0.000 μB/atom
D(E_F): 0.00 states/eV per cell

a = 7.1214 Å, b = 7.1214 Å, c = 7.1214 Å
α = 131.80°, β = 131.80°, γ = 70.54°
Closest atoms and distances in Å follow each position.
Fractional positions:
1 Mg 0.0000 0.0000 0.0000  4 S 2.47
2 Mg 0.7500 0.2500 0.5000  4 S 2.47
3 Cd 0.2500 0.7500 0.5000  4 S 2.57
4 Cd 0.5000 0.5000 0.0000  4 S 2.57
5 S 0.1096 0.6250 0.9846  2 Mg 2.47, 2 Cd 2.57
6 S 0.3750 0.3596 0.4846  2 Mg 2.47, 2 Cd 2.57
7 S 0.6404 0.1250 0.0154  2 Mg 2.47, 2 Cd 2.57
8 S 0.8750 0.8904 0.5154  2 Mg 2.47, 2 Cd 2.57

---

[2]
DFT (GGA-PBE) results for a geometry-optimized MgCdS2 structure.

Values from the calculation:
Uncorrected formation energy: -0.78 eV per atom
Total magnetization: 0.000 μB/atom
D(E_F): 0.00 states/eV per cell

a = 7.5757 Å, b = 7.5757 Å, c = 7.5757 Å
α = 30.53°, β = 30.53°, γ = 30.53°
Closest atoms and distances in Å follow each position.
Fractional positions:
1 Mg 0.0000 0.0000 0.0000  6 S 2.63
2 Cd 0.5000 0.5000 0.5000  2 S 2.34
3 S 0.3920 0.3920 0.3920  1 Cd 2.34
4 S 0.6080 0.6080 0.6080  1 Cd 2.34